Below is an optimized crystal structure of PrGe2IrPd2, with properties calculated at the GGA-PBE level.

Values from the calculation:
ΔH_f (0 K) in eV per atom: 0.05
V in Å³/f.u.: 149.9
Space-group type: No. 139
Energy in eV per atom: -5.50

Lattice parameters (Å, degrees): 9.8893 9.8893 9.8893 156.81 156.81 33.03
Positions (direct):
Pr 0.0000 0.0000 0.0000
Ge 0.1682 0.1682 0.0000
Ge 0.8318 0.8318 0.0000
Ir 0.5000 0.5000 0.0000
Pd 0.2500 0.7500 0.5000
Pd 0.7500 0.2500 0.5000

***

Below is an optimized crystal structure of BaSr2W, with properties calculated at the GGA-PBE level.

Values from the calculation:
ΔH_f (0 K) in eV per atom: 1.03
V in Å³/f.u.: 148.1
Space-group type: No. 123
Excess energy over the best structure of this formula in the dataset in kJ/mol of atoms: 4.9
Energy in eV per atom: -3.53

Lattice parameters (Å, degrees): 3.5495 3.5495 11.7529 90.00 90.00 90.00
Positions (direct):
Ba 0.0000 0.0000 0.0000
Sr 0.5000 0.5000 0.3165
Sr 0.5000 0.5000 0.6835
W 0.0000 0.0000 0.5000

***

Below is an optimized crystal structure of MnGa2I4, with properties calculated at the GGA-PBE level.

Values from the calculation:
V in Å³/f.u.: 275.2
Space-group type: No. 74
Energy in eV per atom: -3.42

Lattice parameters (Å, degrees): 9.1981 9.1981 9.1981 119.99 119.96 90.04
Positions (direct):
Mn 0.3752 0.1252 0.2500
Mn 0.6248 0.8748 0.7500
Ga 0.0000 0.0000 0.5000
Ga 0.0000 0.5000 0.0000
Ga 0.0000 0.5000 0.5000
Ga 0.5000 0.5000 0.0000
I 0.2544 0.2451 0.0093
I 0.2550 0.2456 0.4906
I 0.2550 0.7644 0.0094
I 0.2641 0.7549 0.5093
I 0.7359 0.2451 0.4907
I 0.7450 0.2356 0.9906
I 0.7450 0.7544 0.5094
I 0.7456 0.7549 0.9907

***

Below is an optimized crystal structure of NpUZnRh, with properties calculated at the GGA-PBE level.

Values from the calculation:
ΔH_f (0 K) in eV per atom: -0.18
V in Å³/f.u.: 73.3
Space-group type: No. 216
Energy in eV per atom: -8.39

Lattice parameters (Å, degrees): 4.6980 4.6980 4.6980 60.00 60.00 60.00
Positions (direct):
Np 0.0000 0.0000 0.0000
U 0.7500 0.7500 0.7500
Zn 0.2500 0.2500 0.2500
Rh 0.5000 0.5000 0.5000

***

Below is an optimized crystal structure of YTcRu2, with properties calculated at the GGA-PBE level.

Values from the calculation:
ΔH_f (0 K) in eV per atom: 0.30
V in Å³/f.u.: 67.5
Space-group type: No. 119
Excess energy over the best structure of this formula in the dataset in kJ/mol of atoms: 21.2
Energy in eV per atom: -8.54

Lattice parameters (Å, degrees): 5.1312 5.1312 5.1312 134.55 134.55 66.22
Positions (direct):
Y 0.0000 0.0000 0.0000
Tc 0.7500 0.2500 0.5000
Ru 0.2500 0.7500 0.5000
Ru 0.5000 0.5000 0.0000

***

Below is an optimized crystal structure of BeC, with properties calculated at the GGA-PBE level.

Values from the calculation:
ΔH_f (0 K) in eV per atom: 1.52
V in Å³/f.u.: 22.9
Space-group type: No. 194
Excess energy over the best structure of this formula in the dataset in kJ/mol of atoms: 115.5
Energy in eV per atom: -4.96

Lattice parameters (Å, degrees): 3.1778 3.1778 10.4871 90.00 90.00 120.00
Positions (direct):
Be 0.0000 0.0000 0.2500
Be 0.0000 0.0000 0.7500
Be 0.3333 0.6667 0.2500
Be 0.6667 0.3333 0.7500
C 0.3333 0.6667 0.6796
C 0.3333 0.6667 0.8204
C 0.6667 0.3333 0.1796
C 0.6667 0.3333 0.3204

***

Below is an optimized crystal structure of CsTiCuSe3, with properties calculated at the GGA-PBE level.

Values from the calculation:
V in Å³/f.u.: 159.0
Space-group type: No. 11
Energy in eV per atom: -4.87

Lattice parameters (Å, degrees): 9.1965 3.8390 10.1133 90.00 117.02 90.00
Positions (direct):
Cs 0.0186 0.2500 0.2619
Cs 0.9814 0.7500 0.7381
Ti 0.4725 0.2500 0.1638
Ti 0.5275 0.7500 0.8362
Cu 0.4787 0.7500 0.3968
Cu 0.5213 0.2500 0.6032
Se 0.2703 0.7500 0.1425
Se 0.3375 0.7500 0.5624
Se 0.3499 0.2500 0.8695
Se 0.6501 0.7500 0.1305
Se 0.6625 0.2500 0.4376
Se 0.7297 0.2500 0.8575

***

Below is an optimized crystal structure of Pm5GaAu4, with properties calculated at the GGA-PBE level.

Values from the calculation:
ΔH_f (0 K) in eV per atom: -0.74
V in Å³/f.u.: 250.8
Space-group type: No. 123
Energy in eV per atom: -4.73

Lattice parameters (Å, degrees): 3.6778 3.6778 18.5435 90.00 90.00 90.00
Positions (direct):
Pm 0.0000 0.0000 0.0000
Pm 0.0000 0.0000 0.2004
Pm 0.0000 0.0000 0.4006
Pm 0.0000 0.0000 0.5994
Pm 0.0000 0.0000 0.7996
Ga 0.5000 0.5000 0.5000
Au 0.5000 0.5000 0.0994
Au 0.5000 0.5000 0.3019
Au 0.5000 0.5000 0.6981
Au 0.5000 0.5000 0.9006

***

> Look up the energy of the eighth one.

-4.73 eV per atom

***

Please write out number 4 again, unchanged.
Below is an optimized crystal structure of NpUZnRh, with properties calculated at the GGA-PBE level.

Values from the calculation:
ΔH_f (0 K) in eV per atom: -0.18
V in Å³/f.u.: 73.3
Space-group type: No. 216
Energy in eV per atom: -8.39

Lattice parameters (Å, degrees): 4.6980 4.6980 4.6980 60.00 60.00 60.00
Positions (direct):
Np 0.0000 0.0000 0.0000
U 0.7500 0.7500 0.7500
Zn 0.2500 0.2500 0.2500
Rh 0.5000 0.5000 0.5000

***

> The lowest energy belongs to which entry?

YTcRu2

***

> What is the formula in the eighth record?

Pm5GaAu4